Record 1
Computed, not measured: a geometry-optimized Dy3YTe3 structure at the PBE level of DFT.

abc: 14.7676 4.2627 12.8298
angles: 90.00 90.00 90.00
Sites, in units of the cell vectors:
Dy 0.0588 0.2500 0.1300
Dy 0.2020 0.7500 0.7698
Dy 0.2119 0.7500 0.4798
Dy 0.2881 0.2500 0.9798
Dy 0.2980 0.2500 0.2698
Dy 0.4412 0.7500 0.6300
Dy 0.5588 0.2500 0.3700
Dy 0.7020 0.7500 0.7302
Dy 0.7119 0.7500 0.0202
Dy 0.7881 0.2500 0.5202
Dy 0.7980 0.2500 0.2302
Dy 0.9412 0.7500 0.8700
Y 0.0547 0.2500 0.6142
Y 0.4453 0.7500 0.1142
Y 0.5547 0.2500 0.8858
Y 0.9453 0.7500 0.3858
Te 0.0905 0.2500 0.8851
Te 0.1014 0.2500 0.3643
Te 0.2138 0.7500 0.1273
Te 0.2862 0.2500 0.6273
Te 0.3986 0.7500 0.8643
Te 0.4095 0.7500 0.3851
Te 0.5905 0.2500 0.6149
Te 0.6014 0.2500 0.1357
Te 0.7138 0.7500 0.3727
Te 0.7862 0.2500 0.8727
Te 0.8986 0.7500 0.6357
Te 0.9095 0.7500 0.1149

Computed properties:
**Formation energy from raw total energies**: -1.08 eV/atom
**Total energy**: -5.33 eV per atom

---

Record 2
Computed, not measured: a geometry-optimized Li2OsCl structure at the PBE level of DFT.

abc: 8.0374 8.0374 8.0374
angles: 20.65 20.65 20.65
Sites, in units of the cell vectors:
Li 0.2362 0.2362 0.2362
Li 0.7638 0.7638 0.7638
Os 0.0000 0.0000 0.0000
Cl 0.5000 0.5000 0.5000

Computed properties:
**Formation energy from raw total energies**: -0.31 eV/atom
**Total energy**: -4.54 eV per atom